## K3Ni3IO8 (PBE+U)

Data for K3Ni3IO8 after structural relaxation.

total DFT energy (no corrections) = -4.506 eV/atom
calculated volume = 14.2 A^3/atom

abc: 6.288 6.290 7.186
angles: 116.01 90.00 119.99
Last column: magnetic moment on the atom in μB.
Element x y z (fractional)
K (0.000, 0.000, 0.000)  0.00
K (0.000, 0.500, 0.000)  0.00
K (0.500, 0.500, 0.000)  0.00
Ni (0.500, 0.000, 0.500)  1.77
Ni (0.500, 0.500, 0.500)  1.77
Ni (0.000, 0.500, 0.500)  1.77
I (0.000, 0.000, 0.500)  0.00
O (0.281, 0.562, 0.343)  0.10
O (0.719, 0.438, 0.657)  0.10
O (0.796, 0.591, 0.328)  0.06
O (0.204, 0.409, 0.672)  0.06
O (0.796, 0.032, 0.328)  0.06
O (0.204, 0.968, 0.672)  0.06
O (0.236, 0.032, 0.328)  0.06
O (0.764, 0.968, 0.672)  0.06